No. 1
Crystalline K2MnCr at its relaxed geometry, computed with PBE.

Results
The energy relative to the elements comes out at 1.214 eV/atom. The energy is -4.0330 eV/atom.

abc: 6.582 6.582 6.582
angles: 135.77 135.51 64.54
Positions (direct):
K: 0.250 0.250 0.000
K: 0.750 0.750 0.000
Mn: 0.500 0.000 0.500
Cr: 0.000 0.500 0.500

---

No. 2
Crystalline KMn2Cr at its relaxed geometry, computed with PBE.

Results
The energy relative to the elements comes out at 0.847 eV/atom. The energy is -6.4177 eV/atom.

abc: 2.705 3.520 7.616
angles: 90.00 90.20 90.00
Positions (direct):
K: 0.000 0.000 0.000
Mn: 0.461 0.000 0.489
Mn: 0.958 0.500 0.363
Cr: 0.959 0.500 0.627

---

no.,Fermi-level density of states (states/eV per cell)
1,3.88
2,3.66